Model 1:
A relaxed Mg2ZnGa2 crystal, computed with PBE.

## Properties
DOS at the Fermi energy = 3.886 states/eV/cell

a b c (Å): 4.1685 4.1685 12.1307
angles (deg): 90.00 90.00 90.00
Space group I4/mmm (No. 139)
One atom of each set of equivalent atoms:
Mg 0.0000 0.5000 0.2500
Zn 0.0000 0.0000 0.0000
Ga 0.0000 0.0000 0.4013

Model 2:
A relaxed Mg2ZnGa2 crystal, computed with PBE.

## Properties
DOS at the Fermi energy = 4.180 states/eV/cell

a b c (Å): 7.8786 7.8786 3.3060
angles (deg): 90.00 90.00 90.00
Space group P4/mbm (No. 127)
One atom of each set of equivalent atoms:
Mg 0.1787 0.3213 0.0000
Zn 0.0000 0.0000 0.0000
Ga 0.1199 0.6199 0.5000

Pick model 2: it beats the second-best structure by 0.095 eV/atom.

Model 1:
A relaxed MgZn4Ga4 crystal, computed with PBE.

## Properties
DOS at the Fermi energy = 5.191 states/eV/cell

a b c (Å): 6.0650 6.0650 8.8837
angles (deg): 90.00 90.00 90.00
Space group P4_2/nmc (No. 137, origin choice 2)
One atom of each set of equivalent atoms:
Mg 0.2500 0.7500 0.2500
Zn 0.0405 0.2500 0.1876
Ga 0.0018 0.7500 0.5216

Model 2:
A relaxed MgZn4Ga4 crystal, computed with PBE.

## Properties
DOS at the Fermi energy = 7.679 states/eV/cell

a b c (Å): 8.8510 8.8510 3.9468
angles (deg): 90.00 90.00 90.00
Space group I4/mmm (No. 139)
One atom of each set of equivalent atoms:
Mg 0.0000 0.0000 0.0000
Zn 0.0000 0.3416 0.0000
Ga 0.1714 0.1714 0.5000

Pick model 2: it beats the second-best structure by 0.042 eV/atom.